# 1
Entry from the Alexandria database: a PBEsol-optimized structure of LiAsPt2 (SCAN).

Cell and atoms, written as POSCAR:
```
LiAsPt2
1.0
3.928 0.000 0.000
0.000 3.928 0.000
0.000 0.000 3.657
Li As Pt
1 1 2
Cartesian
0.000 0.000 0.000 Li
1.964 1.964 0.000 As
0.000 1.964 1.829 Pt
1.964 0.000 1.829 Pt
```

For the formation enthalpy at 0 K, the calculation gives -2.24 eV/f.u. As for the space group: P4/mmm, No. 123.

***

# 2
Entry from the Alexandria database: a PBEsol-optimized structure of LiCoPO4 (SCAN).

Cell and atoms, written as POSCAR:
```
LiCoPO4
1.0
4.562 -2.347 0.000
4.562 2.347 0.000
-1.894 0.000 7.140
Li Co P O
2 2 2 8
Cartesian
0.000 0.000 0.000 Li
3.615 -2.062 3.570 Li
1.750 0.266 4.984 Co
5.479 0.266 2.156 Co
2.536 0.496 1.890 P
4.693 0.496 5.250 P
2.290 1.197 3.280 O
3.863 0.990 1.275 O
3.367 0.990 5.865 O
4.939 1.197 3.860 O
2.612 -1.031 2.100 O
1.365 -1.385 6.066 O
4.617 -1.031 5.040 O
5.865 -1.385 1.074 O
```

The energy above the most stable polymorph in this dataset is 1.54 kcal/mol of atoms. As for the uncorrected formation energy: -1460 kJ/mol of formula units. As for the space group: C2, No. 5.

***

# 3
Entry from the Alexandria database: a PBEsol-optimized structure of K5Na3Ta5Nb3O24 (SCAN).

Cell and atoms, written as POSCAR:
```
K5Na3Ta5Nb3O24
1.0
7.973 0.000 0.000
0.004 7.977 0.000
0.005 0.005 7.979
K Na Ta Nb O
5 3 5 3 24
Cartesian
0.000 0.000 0.000 K
0.004 0.003 3.985 K
0.010 3.993 7.978 K
0.007 3.992 3.985 K
3.986 0.008 7.978 K
4.029 4.051 0.060 Na
4.038 0.069 4.066 Na
4.035 4.054 4.074 Na
2.012 2.008 5.999 Ta
2.013 5.987 6.004 Ta
5.974 2.011 6.003 Ta
5.977 5.990 5.986 Ta
5.989 6.002 2.006 Ta
2.032 6.028 2.027 Nb
2.056 2.049 2.021 Nb
6.013 2.023 2.023 Nb
1.974 3.961 1.954 O
1.984 7.945 1.966 O
1.988 1.962 3.967 O
1.988 1.976 7.934 O
1.997 5.940 7.937 O
2.001 7.954 5.934 O
2.011 3.968 5.934 O
2.006 5.941 3.970 O
3.964 1.966 1.962 O
3.969 1.969 5.918 O
3.973 5.907 1.953 O
3.975 5.952 5.937 O
5.919 1.972 3.971 O
5.918 3.970 1.966 O
5.925 3.972 5.941 O
5.919 5.946 3.965 O
5.918 7.939 1.982 O
5.929 1.989 7.938 O
5.938 5.944 7.948 O
5.943 7.958 5.936 O
7.936 5.948 1.972 O
7.941 1.957 1.963 O
7.951 1.983 5.946 O
7.956 5.958 5.947 O
```

As for the uncorrected formation energy: -10773 kJ/mol of formula units. As for the space group: P1, No. 1.

***

# 4
Entry from the Alexandria database: a PBEsol-optimized structure of HfGeI2O (SCAN).

Cell and atoms, written as POSCAR:
```
HfGeI2O
1.0
5.700 0.000 0.000
0.000 5.700 0.000
0.000 0.000 3.904
Hf Ge I O
1 1 2 1
Cartesian
0.000 0.000 0.000 Hf
2.850 2.850 1.952 Ge
0.000 2.850 0.000 I
2.850 0.000 0.000 I
0.000 0.000 1.952 O
```

As for the uncorrected formation energy: -371 kJ/mol of formula units. As for the space group: P4/mmm, No. 123.

***

# 5
Entry from the Alexandria database: a PBEsol-optimized structure of Sm3Ge13Os4 (SCAN).

Cell and atoms, written as POSCAR:
```
Sm3Ge13Os4
1.0
9.014 0.000 0.000
0.000 9.014 0.000
0.000 0.000 9.014
Sm Ge Os
6 26 8
Cartesian
0.000 2.254 4.507 Sm
0.000 6.761 4.507 Sm
2.254 4.507 0.000 Sm
4.507 0.000 2.254 Sm
4.507 0.000 6.761 Sm
6.761 4.507 0.000 Sm
0.000 0.000 0.000 Ge
0.000 2.676 1.311 Ge
0.000 2.676 7.704 Ge
0.000 6.338 1.311 Ge
0.000 6.338 7.704 Ge
1.311 0.000 2.676 Ge
1.311 0.000 6.338 Ge
1.831 4.507 3.196 Ge
1.831 4.507 5.818 Ge
2.676 1.311 0.000 Ge
2.676 7.704 0.000 Ge
3.196 1.831 4.507 Ge
3.196 7.183 4.507 Ge
4.507 3.196 1.831 Ge
4.507 3.196 7.183 Ge
4.507 4.507 4.507 Ge
4.507 5.818 1.831 Ge
4.507 5.818 7.183 Ge
5.818 1.831 4.507 Ge
5.818 7.183 4.507 Ge
6.338 1.311 0.000 Ge
6.338 7.704 0.000 Ge
7.183 4.507 3.196 Ge
7.183 4.507 5.818 Ge
7.704 0.000 2.676 Ge
7.704 0.000 6.338 Ge
2.254 2.254 2.254 Os
2.254 2.254 6.761 Os
2.254 6.761 2.254 Os
2.254 6.761 6.761 Os
6.761 2.254 2.254 Os
6.761 2.254 6.761 Os
6.761 6.761 2.254 Os
6.761 6.761 6.761 Os
```

For the formation enthalpy at 0 K, the calculation gives -8.48 eV/f.u. As for the space group: Pm-3n, No. 223.

***

# 6
Entry from the Alexandria database: a PBEsol-optimized structure of SrLa2HgS (SCAN).

Cell and atoms, written as POSCAR:
```
SrLa2HgS
1.0
5.898 0.000 0.000
0.000 5.898 0.000
0.000 0.000 5.395
Sr La Hg S
1 2 1 1
Cartesian
0.000 0.000 0.000 Sr
0.000 2.949 2.697 La
2.949 0.000 2.697 La
2.949 2.949 2.697 Hg
2.949 2.949 0.000 S
```

As for the uncorrected formation energy: 51 kJ/mol of formula units. As for the space group: P4/mmm, No. 123.

***

Number 1: theoretical density 13.9 g/cm³, E_tot -165.2 eV per cell. Number 2: theoretical density 3.5 g/cm³, E_tot -140.3 eV per cell. Number 3: theoretical density 6.0 g/cm³, E_tot -747.8 eV per cell. Number 4: theoretical density 6.8 g/cm³, E_tot -165.3 eV per cell. Number 5: theoretical density 9.8 g/cm³, E_tot -1354.9 eV per cell. Number 6: theoretical density 5.3 g/cm³, E_tot -185.7 eV per cell.